1.
This record from Alexandria describes a relaxed LaScBr crystal. The functional is GGA-PBE.

a b c (Å): 7.977 7.648 3.557
angles (deg): 82.05 71.74 26.21
Last column: magnetic moment on the atom in μB.
Sites, in units of the cell vectors:
1 La 0.334 0.334 0.666  0.14
2 Sc 0.654 0.654 0.346  0.24
3 Br 0.012 0.012 0.988  0.00

Output
total magnetization	0.7	μB per cell
formation energy (no corrections)	-0.579	eV per atom
offset from the most stable computed form	0.423	eV per formula unit



2.
This record from Alexandria describes a relaxed La2ScBr crystal. The functional is GGA-PBE.

a b c (Å): 3.578 3.578 10.719
angles (deg): 90.00 90.00 117.58
Sites, in units of the cell vectors:
1 La 0.000 0.000 0.974
2 Br 0.500 0.500 0.726
3 Sc 0.000 0.000 0.527
4 La 0.500 0.500 0.273

Output
total magnetization	0.0	μB per cell
formation energy (no corrections)	-0.397	eV per atom
offset from the most stable computed form	0.459	eV per formula unit



3.
This record from Alexandria describes a relaxed LaScBr crystal. The functional is GGA-PBE.

a b c (Å): 7.236 7.236 7.236
angles (deg): 151.76 151.76 40.36
Sites, in units of the cell vectors:
1 Sc 0.653 0.653 0.000
2 Br 0.019 0.019 0.000
3 La 0.328 0.328 0.000

Output
total magnetization	0.0	μB per cell
formation energy (no corrections)	-0.556	eV per atom
offset from the most stable computed form	0.493	eV per formula unit



4.
This record from Alexandria describes a relaxed La2ScBr crystal. The functional is GGA-PBE.

a b c (Å): 5.595 5.595 5.595
angles (deg): 60.00 60.00 60.00
Sites, in units of the cell vectors:
1 La 0.750 0.750 0.750
2 La 0.250 0.250 0.250
3 Br 0.500 0.500 0.500
4 Sc 0.000 0.000 0.000

Output
total magnetization	0.0	μB per cell
formation energy (no corrections)	-0.054	eV per atom
offset from the most stable computed form	1.829	eV per formula unit



5.
This record from Alexandria describes a relaxed LaScSeBr2 crystal. The functional is GGA-PBE.

a b c (Å): 5.145 5.145 5.248
angles (deg): 90.00 90.00 90.00
Last column: magnetic moment on the atom in μB.
Sites, in units of the cell vectors:
1 Sc 0.000 0.000 0.000  0.04
2 Se 0.000 0.000 0.500  -0.01
3 Br 0.000 0.500 0.000  0.00
4 La 0.500 0.500 0.500  0.29
5 Br 0.500 0.000 0.000  0.00

Output
total magnetization	0.5	μB per cell
formation energy (no corrections)	-1.211	eV per atom
offset from the most stable computed form	0.000	eV per formula unit



6.
This record from Alexandria describes a relaxed LaScSeBr2 crystal. The functional is GGA-PBE.

a b c (Å): 5.804 5.804 5.781
angles (deg): 90.00 90.00 90.00
Last column: magnetic moment on the atom in μB.
Sites, in units of the cell vectors:
1 Br 0.500 0.000 0.000  0.01
2 Se 0.000 0.000 0.500  0.00
3 La 0.000 0.000 0.000  0.03
4 Sc 0.500 0.500 0.500  1.18
5 Br 0.000 0.500 0.000  0.01

Output
total magnetization	1.9	μB per cell
formation energy (no corrections)	-0.831	eV per atom
offset from the most stable computed form	1.902	eV per formula unit



7.
This record from Alexandria describes a relaxed La4SeBr5 crystal. The functional is GGA-PBE.

a b c (Å): 4.213 8.788 9.639
angles (deg): 103.42 102.62 90.00
Sites, in units of the cell vectors:
1 Br 0.834 0.663 0.667
2 Br 0.500 0.500 0.000
3 La 0.344 0.920 0.688
4 Br 0.829 0.175 0.658
5 Br 0.171 0.825 0.342
6 La 0.656 0.080 0.312
7 La 0.001 0.773 0.001
8 Br 0.166 0.337 0.333
9 Se 0.500 0.000 0.000
10 La 0.999 0.227 0.999

Output
total magnetization	0.0	μB per cell
formation energy (no corrections)	-1.764	eV per atom



8.
This record from Alexandria describes a relaxed La2SeBr2 crystal. The functional is GGA-PBE.

a b c (Å): 4.568 4.568 8.089
angles (deg): 73.60 73.60 90.00
Last column: magnetic moment on the atom in μB.
Sites, in units of the cell vectors:
1 La 0.611 0.611 0.778  0.42
2 Se 0.000 0.000 0.000  -0.02
3 Br 0.250 0.750 0.500  0.00
4 Br 0.750 0.250 0.500  0.00
5 La 0.389 0.389 0.222  0.42

Output
total magnetization	1.4	μB per cell
formation energy (no corrections)	-1.326	eV per atom



9.
This record from Alexandria describes a relaxed La3Se2Br2 crystal. The functional is GGA-PBE.

a b c (Å): 4.243 7.399 7.628
angles (deg): 100.19 89.98 106.72
Sites, in units of the cell vectors:
1 Se 0.615 0.231 0.858
2 Br 0.129 0.259 0.381
3 Br 0.871 0.741 0.619
4 La 0.752 0.504 0.217
5 Se 0.385 0.769 0.142
6 La 0.248 0.496 0.783
7 La 0.000 0.000 0.000

Output
total magnetization	0.0	μB per cell
formation energy (no corrections)	-1.846	eV per atom



10.
This record from Alexandria describes a relaxed La4Se3Br crystal. The functional is GGA-PBE.

a b c (Å): 4.323 4.323 14.288
angles (deg): 81.30 81.30 60.00
Sites, in units of the cell vectors:
1 La 0.124 0.124 0.627
2 Se 0.250 0.250 0.251
3 La 0.378 0.378 0.867
4 La 0.876 0.876 0.373
5 Se 0.750 0.750 0.749
6 Br 0.000 0.000 0.000
7 La 0.622 0.622 0.133
8 Se 0.500 0.500 0.500

Output
total magnetization	0.0	μB per cell
formation energy (no corrections)	-1.822	eV per atom



11.
This record from Alexandria describes a relaxed La7SeBr12 crystal. The functional is GGA-PBE.

a b c (Å): 9.590 9.590 9.590
angles (deg): 107.99 107.99 107.99
Sites, in units of the cell vectors:
1 Br 0.522 0.842 0.608
2 Br 0.392 0.478 0.158
3 Br 0.077 0.688 0.224
4 Br 0.608 0.522 0.842
5 Br 0.688 0.224 0.077
6 Br 0.842 0.608 0.522
7 La 0.671 0.882 0.960
8 La 0.882 0.960 0.671
9 La 0.118 0.040 0.329
10 La 0.960 0.671 0.882
11 Se 0.000 0.000 0.000
12 La 0.329 0.118 0.040
13 Br 0.158 0.392 0.478
14 Br 0.923 0.312 0.776
15 La 0.500 0.500 0.500
16 Br 0.312 0.776 0.923
17 Br 0.224 0.077 0.688
18 La 0.040 0.329 0.118
19 Br 0.478 0.158 0.392
20 Br 0.776 0.923 0.312

Output
total magnetization	0.0	μB per cell
formation energy (no corrections)	-1.833	eV per atom



12.
This record from Alexandria describes a relaxed La4Se5Br crystal. The functional is GGA-PBE.

a b c (Å): 7.323 9.414 10.109
angles (deg): 90.00 90.00 90.00
Last column: magnetic moment on the atom in μB.
Sites, in units of the cell vectors:
1 Se 0.253 0.238 0.209  0.00
2 Se 0.253 0.762 0.791  0.00
3 Se 0.202 0.000 0.500  0.00
4 Se 0.747 0.738 0.291  0.00
5 La 0.981 0.000 0.265  0.06
6 Se 0.253 0.238 0.791  0.00
7 Br 0.233 0.500 0.500  0.01
8 La 0.470 0.226 0.500  0.13
9 Se 0.747 0.262 0.291  0.00
10 La 0.530 0.726 0.000  0.13
11 Se 0.253 0.762 0.209  0.00
12 La 0.470 0.774 0.500  0.13
13 La 0.019 0.500 0.765  0.06
14 Br 0.767 0.000 0.000  0.01
15 La 0.530 0.274 0.000  0.13
16 La 0.981 0.000 0.735  0.06
17 Se 0.747 0.738 0.709  0.00
18 Se 0.747 0.262 0.709  0.00
19 Se 0.798 0.500 0.000  0.00
20 La 0.019 0.500 0.235  0.06

Output
total magnetization	2.0	μB per cell
formation energy (no corrections)	-1.814	eV per atom